(1)
# K2TaCoS5

An optimized crystal structure of K2TaCoS5 (PBE-GGA, Alexandria via LeMat-Bulk).

Lattice parameters (Å, degrees): 3.6709 9.7584 13.2712 90.00 90.00 100.84
Atoms (fractional coordinates):
K 0.8823 0.7645 0.8212
S 0.3035 0.6071 0.3977
S 0.0756 0.1511 0.0004
Co 0.5842 0.1684 0.9217
S 0.7007 0.4014 0.1531
Ta 0.2114 0.4229 0.0285
S 0.4840 0.9681 0.3007
S 0.6965 0.3929 0.8977
S 0.9244 0.8489 0.5004
K 0.1177 0.2355 0.3212
S 0.3294 0.6587 0.0061
K 0.1301 0.2601 0.6946
S 0.5160 0.0319 0.8007
S 0.6706 0.3413 0.5061
K 0.8699 0.7399 0.1946
Co 0.4158 0.8316 0.4217
Ta 0.7886 0.5771 0.5285
S 0.2993 0.5986 0.6531

density = 3.403 g/cm³
formation energy (no corrections) = -0.830 eV per atom
DOS at the Fermi energy = 6.916 states/eV per cell
M_tot = 0.0 μB per formula unit
total energy = -5.474 eV/atom

(2)
# KCoTcS3

An optimized crystal structure of KCoTcS3 (PBE-GGA, Alexandria via LeMat-Bulk).

Lattice parameters (Å, degrees): 3.5476 8.2039 9.0660 115.32 90.00 90.00
Atoms (fractional coordinates):
Co 0.2500 0.0891 0.6050
Tc 0.7500 0.2985 0.8276
S 0.2500 0.5247 0.8678
Tc 0.2500 0.7015 0.1724
S 0.7500 0.4753 0.1322
S 0.7500 0.8850 0.1445
Co 0.7500 0.9109 0.3950
S 0.2500 0.7893 0.4539
K 0.2500 0.2420 0.2546
S 0.7500 0.2107 0.5461
K 0.7500 0.7580 0.7454
S 0.2500 0.1150 0.8555

density = 4.069 g/cm³
formation energy (no corrections) = -0.671 eV per atom
DOS at the Fermi energy = 4.238 states/eV per cell
M_tot = 0.8 μB per formula unit
total energy = -5.829 eV/atom

(3)
# K4Th3CoS8

An optimized crystal structure of K4Th3CoS8 (PBE-GGA, Alexandria via LeMat-Bulk).

Lattice parameters (Å, degrees): 8.1225 8.7888 8.1418 117.65 119.92 90.00
Atoms (fractional coordinates):
S 0.7710 0.2993 0.0291
K 0.5000 0.0000 0.5000
K 0.0000 0.0000 0.5000
Th 0.5000 0.5000 0.0000
Th 0.0000 0.5000 0.5000
S 0.2581 0.2993 0.0291
K 0.5000 0.0000 0.0000
S 0.2314 0.7028 0.4628
S 0.7686 0.2972 0.5372
S 0.2618 0.2845 0.5235
S 0.2290 0.7007 0.9709
S 0.7419 0.7007 0.9709
K 0.0000 0.0000 0.0000
S 0.7382 0.7155 0.4765
Th 0.5000 0.5000 0.5000
Co 0.0000 0.5000 0.0000

density = 4.558 g/cm³
formation energy (no corrections) = -1.451 eV per atom
DOS at the Fermi energy = 6.462 states/eV per cell
M_tot = 2.5 μB per formula unit
total energy = -5.624 eV/atom

What is the M_tot in the first record? 0.0 μB per formula unit

Among the records above, which one has the lowest density? K2TaCoS5

What is the M_tot in the third record? 2.5 μB per formula unit